A plane-wave DFT calculation with PBE was carried out for crystalline Cs8Au2O at its relaxed geometry.

Summary:
V: 66.68 Å³ per atom
Magnetic moment: 0.0 Bohr magnetons per cell

Cell: 10.267 10.267 8.882 Å, 90.84 90.84 51.57°
Element x y z (fractional)
Cs  0.159  0.159  0.578
Cs  0.197  0.757  0.733
Cs  0.243  0.803  0.267
Cs  0.299  0.299  0.078
Cs  0.701  0.701  0.922
Cs  0.757  0.197  0.733
Cs  0.803  0.243  0.267
Cs  0.841  0.841  0.422
Au  0.111  0.111  0.970
Au  0.889  0.889  0.030
O  0.000  0.000  0.500

A plane-wave DFT calculation with PBE was carried out for crystalline CsAuO2 at its relaxed geometry.

Summary:
V: 22.69 Å³ per atom
Magnetic moment: 0.0 Bohr magnetons per cell

Cell: 7.109 7.109 7.109 Å, 134.24 134.24 66.72°
Element x y z (fractional)
Cs  0.000  0.000  0.000
Cs  0.750  0.250  0.500
Au  0.250  0.750  0.500
Au  0.500  0.500  0.000
O  0.284  0.625  0.159
O  0.375  0.534  0.659
O  0.466  0.125  0.841
O  0.875  0.716  0.341

A plane-wave DFT calculation with PBE was carried out for crystalline CsAuO3 at its relaxed geometry.

Summary:
V: 16.47 Å³ per atom
Magnetic moment: 0.0 Bohr magnetons per cell

Cell: 4.351 4.351 4.351 Å, 90.00 90.00 90.00°
Element x y z (fractional)
Cs  0.000  0.000  0.000
Au  0.500  0.500  0.500
O  0.000  0.000  0.500
O  0.000  0.500  0.000
O  0.500  0.000  0.000

A plane-wave DFT calculation with PBE was carried out for crystalline CsAuO3 at its relaxed geometry.

Summary:
V: 15.78 Å³ per atom
Magnetic moment: 1.6 Bohr magnetons per cell

Cell: 4.289 4.289 4.289 Å, 90.00 90.00 90.00°
Element x y z (fractional)
Cs  0.000  0.000  0.000
Au  0.500  0.500  0.500
O  0.000  0.500  0.500
O  0.500  0.000  0.500
O  0.500  0.500  0.000

A plane-wave DFT calculation with PBE was carried out for crystalline Cs2AuO2 at its relaxed geometry.

Summary:
V: 28.89 Å³ per atom
Magnetic moment: 1.0 Bohr magnetons per cell

Cell: 7.866 7.866 7.866 Å, 146.92 146.92 47.49°
Element x y z (fractional)
Cs  0.153  0.153  0.000
Cs  0.847  0.847  0.000
Au  0.500  0.500  0.000
O  0.365  0.365  0.000
O  0.635  0.635  0.000

A plane-wave DFT calculation with PBE was carried out for crystalline Cs8Au4O at its relaxed geometry.

Summary:
V: 55.75 Å³ per atom
Magnetic moment: 0.0 Bohr magnetons per cell

Cell: 9.700 9.700 9.700 Å, 65.66 65.66 65.66°
Element x y z (fractional)
Cs  0.244  0.244  0.244
Cs  0.288  0.288  0.702
Cs  0.288  0.702  0.288
Cs  0.298  0.712  0.712
Cs  0.702  0.288  0.288
Cs  0.712  0.298  0.712
Cs  0.712  0.712  0.298
Cs  0.756  0.756  0.756
Au  0.000  0.000  0.000
Au  0.000  0.500  0.500
Au  0.500  0.000  0.500
Au  0.500  0.500  0.000
O  0.500  0.500  0.500

no.,energy (eV per atom),E_form (uncorrected) (kcal/mol of atoms)
1,-2.07,-9.2
2,-3.82,-7.1
3,-2.69,25.5
4,-3.84,-0.8
5,-3.91,-21.5
6,-2.30,-9.0